(1)
A PBEsol-optimized structure of TcP2Se, computed with SCAN.

The calculation puts the size of the total moment at 0.00 μB/f.u. Its density of states at the Fermi level is 3.7 states/eV per cell. Its crystal system is orthorhombic. Its uncorrected formation energy is 0.1986 eV per atom.

The structure belongs to space group Imm2 (No. 44); the cell edges are 2.916, 3.103 and 14.232 Å and the angles 90.00°, 90.00° and 90.00°. The asymmetric unit holds Tc at (0.000, 0.000, 0.000), P at (0.000, 0.000, 0.423), P at (0.000, 0.500, 0.632) and Se at (0.000, 0.500, 0.257).

(2)
A PBEsol-optimized structure of CaIn2Au, computed with SCAN.

The energy relative to the elements comes out at -0.4265 eV/atom. The calculation puts the size of the total moment at 0.00 μB/f.u. Its density of states at the Fermi level is 1.4 states/eV per cell. Its crystal system is tetragonal.

The structure belongs to space group P4/mmm (No. 123); the cell edges are 3.460, 3.460 and 7.696 Å and the angles 90.00°, 90.00° and 90.00°. The asymmetric unit holds Ca at (0.000, 0.000, 0.000), In at (0.500, 0.500, 0.290) and Au at (0.000, 0.000, 0.500).

(3)
A PBEsol-optimized structure of YCoSb, computed with SCAN.

The calculation puts the size of the total moment at 1.19 μB/f.u. Its density of states at the Fermi level is 2.6 states/eV per cell. Its crystal system is tetragonal. Its uncorrected formation energy is -0.2495 eV per atom.

The structure belongs to space group I4mm (No. 107); the cell edges are 3.274, 3.274 and 10.802 Å and the angles 90.00°, 90.00° and 90.00°. The asymmetric unit holds Y at (0.000, 0.000, 0.000), Co at (0.000, 0.000, 0.671) and Sb at (0.000, 0.000, 0.286).

(4)
A PBEsol-optimized structure of Ta4Mo3, computed with SCAN.

The energy relative to the elements comes out at -0.1492 eV/atom. The value obtained for the offset from the most stable computed form is 0.001 eV per formula unit. The calculation puts the size of the total moment at 0.00 μB/f.u. Its density of states at the Fermi level is 10.3 states/eV per cell. Its crystal system is monoclinic.

The structure belongs to space group C2/m (No. 12); the cell edges are 9.668, 4.517 and 5.305 Å and the angles 90.00°, 94.59° and 90.00°. The asymmetric unit holds Ta at (0.066, 0.000, 0.274), Ta at (0.145, 0.500, 0.576), Mo at (0.000, 0.500, 0.000) and Mo at (0.219, 0.000, 0.859).

(5)
A PBEsol-optimized structure of SrMgSc, computed with SCAN.

The energy relative to the elements comes out at 0.2815 eV/atom. The value obtained for the offset from the most stable computed form is 0.000 eV per formula unit. The calculation puts the size of the total moment at 0.00 μB/f.u. Its density of states at the Fermi level is 3.6 states/eV per cell. Its crystal system is trigonal.

The structure belongs to space group P3m1 (No. 156); the cell edges are 5.5472, 5.5472 and 3.3320 Å and the angles 90.00°, 90.00° and 120.00°. The asymmetric unit holds Sr at (0.0000, 0.0000, 0.0000), Mg at (0.6667, 0.3333, 0.3595) and Sc at (0.3333, 0.6667, 0.6532).

(6)
A PBEsol-optimized structure of CdTcPt3, computed with SCAN.

The energy relative to the elements comes out at 1.0218 eV/atom. The calculation puts the size of the total moment at 0.00 μB/f.u. Its density of states at the Fermi level is 4.3 states/eV per cell. Its crystal system is cubic.

The structure belongs to space group Pm-3m (No. 221); the cell edges are 4.731, 4.731 and 4.731 Å and the angles 90.00°, 90.00° and 90.00°. The asymmetric unit holds Cd at (0.000, 0.000, 0.000), Tc at (0.500, 0.500, 0.500) and Pt at (0.000, 0.500, 0.500).